The following is a GGA-PBEsol calculation of a relaxed LaMg2O crystal, from Alexandria.

a b c (Å): 6.390 6.390 6.390
angles (deg): 60.00 60.00 60.00
Atoms (fractional coordinates):
O 0.250 0.250 0.250
O 0.000 0.000 0.000
La 0.500 0.500 0.500
La 0.750 0.750 0.750
Mg 0.125 0.125 0.125
Mg 0.625 0.125 0.125
Mg 0.125 0.125 0.625
Mg 0.125 0.625 0.125

Output
Formation energy from raw total energies, kJ per mole of atoms: -90.3
Magnetization, Bohr magnetons per cell: 0.00